(1)
## Sr2BeMo (PBE)

Data for a geometry-optimized Sr2BeMo structure.

Cell and atoms, written as POSCAR:
```
Sr2BeMo
1.0
0.5985 -0.5700 5.1508
-2.9183 -3.4563 2.5983
2.1765 -4.3398 1.9086
Be Sr Mo
1 2 1
direct
0.5000 0.5000 0.5000
0.0000 0.0000 0.0000
0.7500 0.7500 0.7500
0.2500 0.2500 0.2500
```

Computed properties:
symmetry	F-43m, No. 216
crystal system	cubic
calculated volume	100.4	Å³/cell
final energy	-3.36	eV/atom

(2)
## Rb2NiAg2S4 (PBE)

Data for a geometry-optimized Rb2NiAg2S4 structure.

Cell and atoms, written as POSCAR:
```
Rb2NiAg2S4
1.0
3.7461 -11.1707 0.0000
3.7461 11.1707 0.0000
-2.4108 0.0000 5.5103
Rb S Ag Ni
4 8 4 2
direct
0.9368 0.0632 0.2500
0.8071 0.1929 0.7500
0.1929 0.8071 0.2500
0.0632 0.9368 0.7500
0.4783 0.1156 0.8323
0.3664 0.2356 0.4561
0.1156 0.4783 0.3323
0.7644 0.6336 0.0439
0.6336 0.7644 0.5439
0.2356 0.3664 0.9561
0.8844 0.5217 0.6677
0.5217 0.8844 0.1677
0.5221 0.4779 0.2500
0.3211 0.6789 0.7500
0.6789 0.3211 0.2500
0.4779 0.5221 0.7500
0.3766 0.6234 0.2500
0.6234 0.3766 0.7500
```

Computed properties:
symmetry	C2/c, No. 15
crystal system	monoclinic
calculated volume	461.2	Å³/cell
final energy	-3.72	eV/atom

(3)
## Ba2Zn2P2O (PBE)

Data for a geometry-optimized Ba2Zn2P2O structure.

Cell and atoms, written as POSCAR:
```
Ba2Zn2P2O
1.0
-3.5604 2.0434 4.8903
-5.8965 1.8589 1.5948
1.6113 -7.1924 -0.7395
Zn Ba P O
2 2 2 1
direct
0.3034 0.3034 0.9178
0.6966 0.6966 0.0822
0.9515 0.9515 0.7073
0.0485 0.0485 0.2927
0.3089 0.3089 0.2678
0.6911 0.6911 0.7322
0.5000 0.5000 0.0000
```

Computed properties:
symmetry	C2/m, No. 12
crystal system	monoclinic
calculated volume	153.1	Å³/cell
final energy	-4.35	eV/atom